Here is a relaxed structure of ErZnCuIr from Alexandria via LeMat-Bulk. Energies are from PBE-GGA.

a b c (Å): 4.572 4.572 4.572
angles (deg): 60.00 60.00 60.00
Sites, in units of the cell vectors:
Er  0.000  0.000  0.000
Zn  0.500  0.500  0.500
Cu  0.750  0.750  0.750
Ir  0.250  0.250  0.250

ΔE_f = -0.3617 eV per atom
crystal system = cubic
space-group type = F-43m (216)
calculated density = 12.00 Mg/m³

***

Here is a relaxed structure of ErZrCuIr from Alexandria via LeMat-Bulk. Energies are from PBE-GGA.

a b c (Å): 4.746 4.746 4.746
angles (deg): 60.00 60.00 60.00
Sites, in units of the cell vectors:
Er  0.000  0.000  0.000
Zr  0.500  0.500  0.500
Cu  0.250  0.250  0.250
Ir  0.750  0.750  0.750

ΔE_f = -0.5439 eV per atom
crystal system = cubic
space-group type = F-43m (216)
calculated density = 11.30 Mg/m³